No. 1
A geometry-optimized PuCl3O structure, computed with GGA-PBE.

Properties
- Fermi-level density of states: 1.148 states/eV per atom
- Uncorrected formation energy: -1.745 eV/atom
- Total DFT energy (no corrections): -6.71 eV per atom
- Energy above the most stable polymorph in this dataset: 14 meV per atom

Cell lengths 10.4327, 7.5955, 11.4948 Å; angles 97.67, 90.00, 90.00 degrees
Last column: nearest neighbours and their distance in Å.
Sites, in units of the cell vectors:
Pu  0.8586  0.9188  0.8781  2 O 1.98-2.16
Pu  0.1414  0.9188  0.3781  2 O 1.98-2.16
Pu  0.8586  0.0812  0.6219  2 O 1.98-2.16
Pu  0.1414  0.0812  0.1219  2 O 1.98-2.16
Cl  0.8615  0.3857  0.5688  1 Pu 2.47
Cl  0.1386  0.3857  0.0688  1 Pu 2.47
Cl  0.3782  0.0726  0.1019  1 Pu 2.48
Cl  0.1156  0.9276  0.8964  2 Pu 2.69-2.71
Cl  0.6218  0.0726  0.6019  1 Pu 2.48
Cl  0.1385  0.6143  0.4312  1 Pu 2.47
Cl  0.1156  0.0724  0.6036  2 Pu 2.69-2.71
Cl  0.3782  0.9274  0.3981  1 Pu 2.48
Cl  0.8844  0.0724  0.1036  2 Pu 2.69-2.71
Cl  0.6218  0.9274  0.8981  1 Pu 2.48
Cl  0.8614  0.6143  0.9312  1 Pu 2.47
Cl  0.8844  0.9276  0.3964  2 Pu 2.69-2.71
O  0.8623  0.8550  0.6891  2 Pu 1.98-2.16
O  0.8623  0.1450  0.8109  2 Pu 1.98-2.16
O  0.1377  0.8550  0.1891  2 Pu 1.98-2.16
O  0.1377  0.1450  0.3109  2 Pu 1.98-2.16

=====

No. 2
A geometry-optimized Pu4Cl5O structure, computed with GGA-PBE.

Properties
- Fermi-level density of states: 3.124 states/eV per atom
- Uncorrected formation energy: -1.718 eV/atom
- Total DFT energy (no corrections): -8.87 eV per atom

Cell lengths 3.6345, 7.8968, 8.6490 Å; angles 102.32, 102.13, 90.00 degrees
Last column: nearest neighbours and their distance in Å.
Sites, in units of the cell vectors:
Pu  0.6550  0.0702  0.3100  1 O 2.56, 4 Cl 2.79-2.82
Pu  0.9984  0.2128  0.9968  2 O 2.48, 1 Cl 2.77
Pu  0.3450  0.9298  0.6900  1 O 2.56, 4 Cl 2.79-2.82
Pu  0.0016  0.7872  0.0032  2 O 2.48, 1 Cl 2.77
Cl  0.1642  0.3420  0.3285  3 Pu 2.77-2.79
Cl  0.1719  0.8079  0.3438  4 Pu 2.82-2.87
Cl  0.8281  0.1921  0.6562  4 Pu 2.82-2.87
Cl  0.5000  0.5000  0.0000  4 Pu 2.90
Cl  0.8358  0.6580  0.6715  3 Pu 2.77-2.79
O  0.5000  0.0000  0.0000  6 Pu 2.48-2.56

=====

No. 3
A geometry-optimized PuCl3O structure, computed with GGA-PBE.

Properties
- Fermi-level density of states: 1.189 states/eV per atom
- Uncorrected formation energy: -1.759 eV/atom
- Total DFT energy (no corrections): -6.72 eV per atom
- Energy above the most stable polymorph in this dataset: 0 meV per atom

Cell lengths 7.6116, 7.6388, 7.6398 Å; angles 95.94, 111.19, 122.60 degrees
Last column: nearest neighbours and their distance in Å.
Sites, in units of the cell vectors:
Pu  0.5316  0.0317  0.9999  2 O 2.23, 2 Cl 2.48
Pu  0.0317  0.5317  0.0000  2 O 1.92
Cl  0.0316  0.2863  0.7549  1 Pu 2.51
Cl  0.0319  0.7771  0.2452  1 Pu 2.51
Cl  0.5315  0.7893  0.7578  1 Pu 2.48
Cl  0.0094  0.2801  0.2293  2 Pu 2.68-2.71, 1 O 2.95
Cl  0.5317  0.2740  0.2421  1 Pu 2.48
Cl  0.0537  0.7830  0.7707  2 Pu 2.68-2.71, 1 O 2.95
O  0.3710  0.7586  0.1125  1 Pu 1.92
O  0.6924  0.3048  0.8876  1 Pu 1.92

=====

No. 4
A geometry-optimized Pu2ClO2 structure, computed with GGA-PBE.

Properties
- Fermi-level density of states: 2.753 states/eV per atom
- Uncorrected formation energy: -2.525 eV/atom
- Total DFT energy (no corrections): -10.61 eV per atom
- Energy above the most stable polymorph in this dataset: 95 meV per atom

Cell lengths 6.2424, 6.2424, 6.4516 Å; angles 113.53, 113.53, 100.07 degrees
Last column: nearest neighbours and their distance in Å.
Sites, in units of the cell vectors:
Pu  0.1899  0.8101  0.0000  4 O 2.33-2.35
Pu  0.8101  0.1899  0.0000  4 O 2.33-2.35
Pu  0.0601  0.9399  0.5000  4 O 2.33-2.35
Pu  0.4399  0.5601  0.5000  4 O 2.33-2.35
Cl  0.5000  0.5000  0.0000  6 Pu 2.97-3.28, 4 O 3.30
Cl  0.7500  0.2500  0.5000  6 Pu 2.97-3.28, 4 O 3.30
O  0.8564  0.8564  0.7128  4 Pu 2.33-2.35
O  0.1436  0.1436  0.2872  4 Pu 2.33-2.35
O  0.1064  0.6064  0.2128  4 Pu 2.33-2.35
O  0.3936  0.8936  0.7872  4 Pu 2.33-2.35

=====

No. 5
A geometry-optimized Pu2Cl3O structure, computed with GGA-PBE.

Properties
- Fermi-level density of states: 3.897 states/eV per atom
- Uncorrected formation energy: -2.194 eV/atom
- Total DFT energy (no corrections): -8.72 eV per atom

Cell lengths 3.9861, 8.2382, 9.9782 Å; angles 70.32, 78.48, 76.00 degrees
Last column: nearest neighbours and their distance in Å.
Sites, in units of the cell vectors:
Pu  0.8636  0.4752  0.7977  2 O 2.42
Pu  0.1364  0.5248  0.2023  2 O 2.42
Pu  0.5906  0.2697  0.5490  2 O 2.29-2.31
Pu  0.4094  0.7303  0.4510  2 O 2.29-2.31
Cl  0.0506  0.1388  0.7601  3 Pu 2.82-2.83
Cl  0.9494  0.8612  0.2399  3 Pu 2.82-2.83
Cl  0.6619  0.6848  0.9914  3 Pu 2.87-2.88
Cl  0.3381  0.3152  0.0086  3 Pu 2.87-2.88
Cl  0.7725  0.8362  0.6187  3 Pu 2.87-2.89
Cl  0.2275  0.1638  0.3813  3 Pu 2.87-2.89
O  0.4266  0.4928  0.6539  4 Pu 2.29-2.42
O  0.5734  0.5072  0.3461  4 Pu 2.29-2.42

=====

No. 6
A geometry-optimized Pu2Cl2O structure, computed with GGA-PBE.

Properties
- Fermi-level density of states: 2.401 states/eV per atom
- Uncorrected formation energy: -1.173 eV/atom
- Total DFT energy (no corrections): -8.64 eV per atom
- Energy above the most stable polymorph in this dataset: 838 meV per atom

Cell lengths 3.6114, 3.6114, 13.0064 Å; angles 90.00, 90.00, 90.00 degrees
Last column: nearest neighbours and their distance in Å.
Sites, in units of the cell vectors:
Pu  0.5000  0.5000  0.1583  1 O 2.06
Pu  0.5000  0.5000  0.8417  1 O 2.06
Cl  0.5000  0.5000  0.6511  1 Pu 2.48
Cl  0.5000  0.5000  0.3489  1 Pu 2.48
O  0.5000  0.5000  0.0000  2 Pu 2.06

=====

Which value of Fermi-level density of states does entry 1 give?
1.148 states/eV per atom